# YFeMo2

A PBEsol-optimized structure of YFeMo2 (meta-GGA SCAN, the Alexandria database).

Its volume is 129.5 Å³/cell. The calculation puts the total energy at -28.3784 eV per atom. The value obtained for the polymorph energy (0 for the lowest one) is 0.265 eV/atom.

The space group is C2/m (No. 12) and the conventional cell measures 5.299, 9.346 and 2.769 Å, with angles of 90.00, 109.19 and 90.00 degrees. Symmetry generates all atoms from Y at (0.000, 0.000, 0.000), Fe at (0.000, 0.500, 0.000) and Mo at (0.250, 0.250, 0.500).

---

# YFe2Mo

A PBEsol-optimized structure of YFe2Mo (meta-GGA SCAN, the Alexandria database).

Its volume is 62.6 Å³/cell. The calculation puts the total energy at -24.4611 eV per atom. The value obtained for the polymorph energy (0 for the lowest one) is 0.000 eV/atom.

The space group is P4mm (No. 99) and the conventional cell measures 3.016, 3.016 and 6.883 Å, with angles of 90.00, 90.00 and 90.00 degrees. Symmetry generates all atoms from Y at (0.000, 0.000, 0.000), Fe at (0.000, 0.000, 0.476), Fe at (0.500, 0.500, 0.297) and Mo at (0.500, 0.500, 0.673).

---

# YFe2Mo2

A PBEsol-optimized structure of YFe2Mo2 (meta-GGA SCAN, the Alexandria database).

Its volume is 162.7 Å³/cell. The calculation puts the total energy at -26.6346 eV per atom.

The space group is I4/mmm (No. 139) and the conventional cell measures 4.122, 4.122 and 9.575 Å, with angles of 90.00, 90.00 and 90.00 degrees. Symmetry generates all atoms from Y at (0.000, 0.000, 0.000), Fe at (0.000, 0.000, 0.374) and Mo at (0.000, 0.500, 0.250).